[1]
Below is crystalline KSc2Pb at its relaxed geometry, with properties calculated at the PBE level.

POSCAR file:
```
KSc2Pb
1.0
3.435 0.000 0.000
0.000 4.256 0.000
0.000 0.000 9.147
Sc K Pb
2 1 1
direct
0.000 0.000 0.586 Sc
0.000 0.000 0.914 Sc
0.500 0.500 0.250 K
0.500 0.500 0.750 Pb
```

SG   Pmmm
Fermi-level density of states   4.695 states/eV/cell
Final energy   -4.20 eV/atom
Magnetic moment   1.6 μB/f.u.
Formation energy from the elements   0.66 eV per formula unit

[2]
Below is crystalline Co2As2Br at its relaxed geometry, with properties calculated at the PBE level.

POSCAR file:
```
Co2As2Br
1.0
-0.282 -2.914 -7.431
2.783 -7.005 2.642
-2.644 -0.882 0.446
Br As Co
2 4 4
direct
0.000 0.000 0.000 Br
0.500 0.500 0.000 Br
0.370 0.870 0.000 As
0.130 0.370 0.000 As
0.630 0.130 0.000 As
0.870 0.630 0.000 As
0.883 0.383 0.500 Co
0.617 0.883 0.500 Co
0.383 0.117 0.500 Co
0.117 0.617 0.500 Co
```

Raw formation energy   0.370 eV per atom
SG   P4/mbm
Fermi-level density of states   5.229 states/eV/cell
Final energy   -4.67 eV/atom
Magnetic moment   1.3 μB/f.u.

[3]
Below is crystalline Pr5NiTe2 at its relaxed geometry, with properties calculated at the PBE level.

POSCAR file:
```
Pr5NiTe2
1.0
-1.440 -5.853 1.105
4.582 2.893 4.304
-10.700 4.245 8.537
Te Pr Ni
4 10 2
direct
0.192 0.385 0.936 Te
0.192 0.385 0.564 Te
0.808 0.615 0.064 Te
0.808 0.615 0.436 Te
0.376 0.751 0.389 Pr
0.939 0.879 0.877 Pr
0.376 0.751 0.111 Pr
0.324 0.648 0.750 Pr
0.676 0.352 0.250 Pr
0.061 0.121 0.123 Pr
0.061 0.121 0.377 Pr
0.939 0.879 0.623 Pr
0.624 0.249 0.889 Pr
0.624 0.249 0.611 Pr
0.222 0.443 0.250 Ni
0.778 0.557 0.750 Ni
```

Raw formation energy   -0.552 eV per atom
SG   Cmcm
Fermi-level density of states   19.181 states/eV/cell
Final energy   -5.05 eV/atom
Magnetic moment   0.0 μB/f.u.

[4]
Below is crystalline CeTi3Sb2 at its relaxed geometry, with properties calculated at the PBE level.

POSCAR file:
```
CeTi3Sb2
1.0
4.142 0.000 0.000
-2.071 8.427 0.061
0.000 -3.732 7.758
Ti Ce Sb
6 2 4
direct
0.058 0.115 0.420 Ti
0.310 0.620 0.525 Ti
0.942 0.885 0.580 Ti
0.690 0.380 0.475 Ti
0.416 0.833 0.344 Ti
0.584 0.167 0.656 Ti
0.862 0.725 0.953 Ce
0.138 0.275 0.047 Ce
0.473 0.945 0.815 Sb
0.527 0.055 0.185 Sb
0.787 0.574 0.267 Sb
0.213 0.426 0.733 Sb
```

Raw formation energy   -0.487 eV per atom
SG   C2/m
Fermi-level density of states   21.162 states/eV/cell
Final energy   -6.80 eV/atom
Magnetic moment   1.0 μB/f.u.

[5]
Below is crystalline LiCaC3 at its relaxed geometry, with properties calculated at the PBE level.

POSCAR file:
```
LiCaC3
1.0
-3.104 -0.821 -2.088
1.490 -3.419 -0.871
-1.677 -1.518 3.090
Li C Ca
1 3 1
direct
0.000 0.000 0.000 Li
0.000 0.500 0.000 C
0.500 0.000 0.000 C
0.000 0.000 0.500 C
0.500 0.500 0.500 Ca
```

SG   Pm-3m
Fermi-level density of states   3.159 states/eV/cell
Final energy   -4.26 eV/atom
Magnetic moment   0.0 μB/f.u.
Formation energy from the elements   10.29 eV per formula unit

[6]
Below is crystalline BaAlAs2 at its relaxed geometry, with properties calculated at the PBE level.

POSCAR file:
```
BaAlAs2
1.0
3.802 0.000 0.000
0.000 3.805 0.000
0.000 0.000 6.781
As Ba Al
2 1 1
direct
0.000 0.000 0.936 As
0.000 0.000 0.564 As
0.500 0.500 0.250 Ba
0.500 0.500 0.750 Al
```

SG   P4/mmm
Fermi-level density of states   2.094 states/eV/cell
Final energy   -4.05 eV/atom
Magnetic moment   0.0 μB/f.u.
Formation energy from the elements   -1.25 eV per formula unit

[7]
Below is crystalline SrRu4 at its relaxed geometry, with properties calculated at the PBE level.

POSCAR file:
```
SrRu4
1.0
4.780 0.000 0.000
0.000 4.780 0.000
0.000 0.000 4.780
Ru Sr
4 1
direct
0.500 0.000 0.500 Ru
0.000 0.000 0.000 Ru
0.000 0.500 0.500 Ru
0.500 0.500 0.000 Ru
0.500 0.500 0.500 Sr
```

SG   Pm-3m
Fermi-level density of states   6.204 states/eV/cell
Final energy   -4.79 eV/atom
Magnetic moment   7.4 μB/f.u.
Formation energy from the elements   14.84 eV per formula unit

[8]
Below is crystalline CaLa2Pb2 at its relaxed geometry, with properties calculated at the PBE level.

POSCAR file:
```
CaLa2Pb2
1.0
-4.934 -4.052 -7.052
-2.637 -7.006 5.870
-3.035 1.972 0.991
Pb La Ca
4 4 2
direct
0.825 0.325 0.500 Pb
0.675 0.825 0.500 Pb
0.325 0.175 0.500 Pb
0.175 0.675 0.500 Pb
0.375 0.875 0.000 La
0.625 0.125 0.000 La
0.125 0.375 0.000 La
0.875 0.625 0.000 La
0.500 0.500 0.000 Ca
0.000 0.000 0.000 Ca
```

SG   P4/mbm
Fermi-level density of states   6.104 states/eV/cell
Final energy   -4.28 eV/atom
Magnetic moment   0.0 μB/f.u.
Formation energy from the elements   -2.13 eV per formula unit

[9]
Below is crystalline Nd2Dy7Ho2 at its relaxed geometry, with properties calculated at the PBE level.

POSCAR file:
```
Nd2Dy7Ho2
1.0
5.341 1.617 2.334
0.931 8.335 1.968
0.931 -1.084 8.495
Dy Nd Ho
7 2 2
direct
0.372 0.413 0.413 Dy
0.175 0.590 0.061 Dy
0.175 0.061 0.590 Dy
0.825 0.410 0.939 Dy
0.628 0.587 0.587 Dy
0.000 0.000 0.000 Dy
0.825 0.939 0.410 Dy
0.871 0.769 0.769 Nd
0.129 0.231 0.231 Nd
0.500 0.782 0.218 Ho
0.500 0.218 0.782 Ho
```

SG   C2/m
Fermi-level density of states   17.395 states/eV/cell
Final energy   -4.47 eV/atom
Magnetic moment   0.0 μB/f.u.
Formation energy from the elements   1.70 eV per formula unit

[10]
Below is crystalline Ni2TeBr at its relaxed geometry, with properties calculated at the PBE level.

POSCAR file:
```
Ni2TeBr
1.0
3.816 -0.020 0.000
-2.206 3.114 0.000
0.000 0.000 7.258
Ni Br Te
2 1 1
direct
0.000 0.000 0.491 Ni
0.000 0.000 0.009 Ni
0.500 0.500 0.750 Br
0.500 0.500 0.250 Te
```

Raw formation energy   0.286 eV per atom
SG   Cmmm
Fermi-level density of states   4.284 states/eV/cell
Final energy   -3.81 eV/atom
Magnetic moment   0.0 μB/f.u.

[11]
Below is crystalline Sc2Pd13 at its relaxed geometry, with properties calculated at the PBE level.

POSCAR file:
```
Sc2Pd13
1.0
7.245 0.000 0.000
3.623 6.275 0.000
3.623 2.092 6.641
Pd Sc
13 2
direct
0.478 0.863 0.182 Pd
0.478 0.478 0.182 Pd
0.739 0.739 0.416 Pd
0.137 0.522 0.818 Pd
0.500 0.500 0.500 Pd
0.739 0.107 0.416 Pd
0.107 0.739 0.416 Pd
0.261 0.893 0.584 Pd
0.863 0.478 0.182 Pd
0.522 0.137 0.818 Pd
0.522 0.522 0.818 Pd
0.893 0.261 0.584 Pd
0.261 0.261 0.584 Pd
0.741 0.741 0.776 Sc
0.259 0.259 0.224 Sc
```

SG   R-3m
Fermi-level density of states   18.645 states/eV/cell
Final energy   -5.32 eV/atom
Magnetic moment   0.0 μB/f.u.
Formation energy from the elements   0.32 eV per formula unit